Entry one
This record from the Alexandria database describes a geometry-optimized NiIr2Cl structure. The functional is PBE.

Values from the calculation:
Fermi-level density of states ... 4.6 states/eV/f.u.

Unit cell a=2.8453 b=2.8453 c=24.4335 alpha=90.00 beta=90.00 gamma=120.00
Space group R3m (No. 160, hexagonal axes)
Unique sites:
1 Ni 0.0000 0.0000 0.0000 (multiplicity 3)
2 Ir 0.0000 0.0000 0.2522 (multiplicity 3)
3 Ir 0.0000 0.0000 0.4990 (multiplicity 3)
4 Cl 0.0000 0.0000 0.7353 (multiplicity 3)

Entry two
This record from the Alexandria database describes a geometry-optimized NiIr2Cl structure. The functional is PBE.

Values from the calculation:
Fermi-level density of states ... 5.6 states/eV/f.u.

Unit cell a=3.763 b=3.763 c=17.571 alpha=90.00 beta=90.00 gamma=90.00
Space group I-42d (No. 122)
Unique sites:
1 Ni 0.000 0.000 0.000 (multiplicity 4)
2 Ir 0.228 0.250 0.125 (multiplicity 8)
3 Cl 0.000 0.000 0.500 (multiplicity 4)

Entry three
This record from the Alexandria database describes a geometry-optimized NiIr2Cl structure. The functional is PBE.

Values from the calculation:
Fermi-level density of states ... 6.5 states/eV/f.u.

Unit cell a=2.728 b=4.487 c=4.776 alpha=90.00 beta=90.00 gamma=90.00
Space group Pmmm (No. 47)
Unique sites:
1 Ni 0.000 0.000 0.000 (multiplicity 1)
2 Ir 0.000 0.500 0.500 (multiplicity 1)
3 Ir 0.500 0.500 0.000 (multiplicity 1)
4 Cl 0.500 0.000 0.500 (multiplicity 1)

Energetically preferred structure: entry one | next structure: +38.6 kJ/mol of atoms

Entry one
This record from the Alexandria database describes a geometry-optimized NiIr2Cl structure. The functional is PBE.

Values from the calculation:
Fermi-level density of states ... 4.8 states/eV/f.u.

Unit cell a=2.752 b=3.863 c=11.678 alpha=90.00 beta=90.00 gamma=90.00
Space group Immm (No. 71)
Unique sites:
1 Ni 0.000 0.000 0.000 (multiplicity 2)
2 Ir 0.000 0.500 0.293 (multiplicity 4)
3 Cl 0.000 0.000 0.500 (multiplicity 2)

Entry two
This record from the Alexandria database describes a geometry-optimized NiIr2Cl structure. The functional is PBE.

Values from the calculation:
Fermi-level density of states ... 5.3 states/eV/f.u.

Unit cell a=4.023 b=4.023 c=3.508 alpha=90.00 beta=90.00 gamma=90.00
Space group P4/mmm (No. 123)
Unique sites:
1 Ni 0.000 0.000 0.000 (multiplicity 1)
2 Ir 0.000 0.500 0.500 (multiplicity 2)
3 Cl 0.500 0.500 0.000 (multiplicity 1)

Entry three
This record from the Alexandria database describes a geometry-optimized NiIr2Cl structure. The functional is PBE.

Values from the calculation:
Fermi-level density of states ... 4.2 states/eV/f.u.

Unit cell a=5.649 b=7.201 c=2.765 alpha=90.00 beta=90.00 gamma=90.00
Space group Cmmm (No. 65)
Unique sites:
1 Ni 0.000 0.000 0.000 (multiplicity 2)
2 Ir 0.250 0.250 0.500 (multiplicity 4)
3 Cl 0.000 0.500 0.000 (multiplicity 2)

Entry four
This record from the Alexandria database describes a geometry-optimized NiIr2Cl structure. The functional is PBE.

Values from the calculation:
Fermi-level density of states ... 5.3 states/eV/f.u.

Unit cell a=2.875 b=2.875 c=7.089 alpha=90.00 beta=90.00 gamma=90.00
Space group P4/mmm (No. 123)
Unique sites:
1 Ni 0.000 0.000 0.000 (multiplicity 1)
2 Ir 0.500 0.500 0.211 (multiplicity 2)
3 Cl 0.000 0.000 0.500 (multiplicity 1)

Energetically preferred structure: entry one | next structure: +15.0 kJ/mol of atoms

Entry one
This record from the Alexandria database describes a geometry-optimized NiIr2Cl structure. The functional is PBE.

Values from the calculation:
Fermi-level density of states ... 6.5 states/eV/f.u.

Unit cell a=2.721 b=4.906 c=8.696 alpha=90.00 beta=90.00 gamma=90.00
Space group Cmmm (No. 65)
Unique sites:
1 Ni 0.000 0.000 0.000 (multiplicity 2)
2 Ir 0.000 0.500 0.243 (multiplicity 4)
3 Cl 0.000 0.000 0.500 (multiplicity 2)

Entry two
This record from the Alexandria database describes a geometry-optimized NiIr2Cl structure. The functional is PBE.

Values from the calculation:
Fermi-level density of states ... 6.8 states/eV/f.u.

Unit cell a=4.497 b=4.497 c=2.784 alpha=90.00 beta=90.00 gamma=90.00
Space group P4/mmm (No. 123)
Unique sites:
1 Ni 0.000 0.000 0.000 (multiplicity 1)
2 Ir 0.000 0.500 0.500 (multiplicity 2)
3 Cl 0.500 0.500 0.000 (multiplicity 1)

Energetically preferred structure: entry one | next structure: +33.1 kJ/mol of atoms

Entry one
This record from the Alexandria database describes a geometry-optimized Ni3IrCl structure. The functional is PBE.

Values from the calculation:
Fermi-level density of states ... 10.3 states/eV/f.u.

Unit cell a=4.611 b=4.611 c=4.611 alpha=90.00 beta=90.00 gamma=90.00
Space group Pm-3m (No. 221)
Unique sites:
1 Ni 0.000 0.000 0.500 (multiplicity 3)
2 Ir 0.000 0.000 0.000 (multiplicity 1)
3 Cl 0.500 0.500 0.500 (multiplicity 1)

Entry two
This record from the Alexandria database describes a geometry-optimized Ni3IrCl structure. The functional is PBE.

Values from the calculation:
Fermi-level density of states ... 5.3 states/eV/f.u.

Unit cell a=4.081 b=4.081 c=4.081 alpha=90.00 beta=90.00 gamma=90.00
Space group Pm-3m (No. 221)
Unique sites:
1 Ni 0.000 0.000 0.500 (multiplicity 3)
2 Ir 0.500 0.500 0.500 (multiplicity 1)
3 Cl 0.000 0.000 0.000 (multiplicity 1)

Energetically preferred structure: entry two | next structure: +34.8 kJ/mol of atoms

Entry one
This record from the Alexandria database describes a geometry-optimized IrCl3O structure. The functional is PBE.

Values from the calculation:
Fermi-level density of states ... 14.4 states/eV/f.u.

Unit cell a=4.709 b=4.709 c=4.709 alpha=90.00 beta=90.00 gamma=90.00
Space group Pm-3m (No. 221)
Unique sites:
1 Ir 0.000 0.000 0.000 (multiplicity 1)
2 Cl 0.000 0.000 0.500 (multiplicity 3)
3 O 0.500 0.500 0.500 (multiplicity 1)

Entry two
This record from the Alexandria database describes a geometry-optimized IrCl3O structure. The functional is PBE.

Values from the calculation:
Fermi-level density of states ... 3.1 states/eV/f.u.

Unit cell a=7.068 b=6.474 c=12.638 alpha=90.00 beta=92.12 gamma=90.00
Space group P2/c (No. 13)
Unique sites:
1 Ir 0.063 0.100 0.127 (multiplicity 4)
2 Cl 0.094 0.214 0.531 (multiplicity 4)
3 Cl 0.213 0.025 0.786 (multiplicity 4)
4 Cl 0.345 0.210 0.061 (multiplicity 4)
5 O 0.021 0.360 0.198 (multiplicity 4)

Entry three
This record from the Alexandria database describes a geometry-optimized IrCl3O structure. The functional is PBE.

Values from the calculation:
Fermi-level density of states ... 5.8 states/eV/f.u.

Unit cell a=4.454 b=4.454 c=4.454 alpha=90.00 beta=90.00 gamma=90.00
Space group Pm-3m (No. 221)
Unique sites:
1 Ir 0.000 0.000 0.000 (multiplicity 1)
2 Cl 0.000 0.500 0.500 (multiplicity 3)
3 O 0.500 0.500 0.500 (multiplicity 1)

Energetically preferred structure: entry two | next structure: +111.8 kJ/mol of atoms

Entry one
This record from the Alexandria database describes a geometry-optimized IrSCl2O structure. The functional is PBE.

Values from the calculation:
Fermi-level density of states ... 5.5 states/eV/f.u.

Unit cell a=4.419 b=4.419 c=4.169 alpha=90.00 beta=90.00 gamma=90.00
Space group P4/mmm (No. 123)
Unique sites:
1 Ir 0.000 0.000 0.000 (multiplicity 1)
2 S 0.500 0.500 0.000 (multiplicity 1)
3 Cl 0.000 0.500 0.500 (multiplicity 2)
4 O 0.500 0.500 0.500 (multiplicity 1)

Entry two
This record from the Alexandria database describes a geometry-optimized IrSCl2O structure. The functional is PBE.

Values from the calculation:
Fermi-level density of states ... 10.3 states/eV/f.u.

Unit cell a=4.826 b=4.826 c=4.426 alpha=90.00 beta=90.00 gamma=90.00
Space group P4/mmm (No. 123)
Unique sites:
1 Ir 0.000 0.000 0.000 (multiplicity 1)
2 S 0.000 0.000 0.500 (multiplicity 1)
3 Cl 0.000 0.500 0.000 (multiplicity 2)
4 O 0.500 0.500 0.500 (multiplicity 1)

Energetically preferred structure: entry two | next structure: +53.5 kJ/mol of atoms